! PBE CrGa2Mo2, relaxed; values from VASP
&SYSTEM
  ibrav = 0, nat = 10, ntyp = 3
/
ATOMIC_SPECIES
Cr 52.00 Cr.upf
Ga 69.72 Ga.upf
Mo 95.94 Mo.upf
ATOMIC_POSITIONS crystal
Cr 0.0000 0.0000 0.0000
Cr 0.5000 0.5000 0.0000
Ga 0.1336 0.3664 0.0000
Ga 0.3664 0.8664 0.0000
Ga 0.6336 0.1336 0.0000
Ga 0.8664 0.6336 0.0000
Mo 0.1701 0.6701 0.5000
Mo 0.3299 0.1701 0.5000
Mo 0.6701 0.8299 0.5000
Mo 0.8299 0.3299 0.5000
CELL_PARAMETERS angstrom
6.5484 0.0000 0.0000
0.0000 6.5484 0.0000
0.0000 0.0000 3.4565
! Energy (eV for the cell shown): -73.11
! Space group: P4/mbm
! Crystal system: tetragonal